A relaxed K4FeSe crystal. Source: Alexandria via LeMat-Bulk, functional PBE-GGA.

Summary:
- Formation energy (no corrections): 0.57 eV per atom
- Fermi-level density of states: 9.3 states/eV/f.u.

```
data_K4FeSe
_chemical_formula_sum 'K16 Fe4 Se4'
_space_group_name_H-M_alt 'F -4 3 m'
_space_group_IT_number 216
_space_group_name_Hall 'F -4 2 3'
_cell_length_a 9.827
_cell_length_b 9.827
_cell_length_c 9.827
_cell_angle_alpha 90.00
_cell_angle_beta 90.00
_cell_angle_gamma 90.00
loop_
_atom_site_label
_atom_site_type_symbol
_atom_site_fract_x
_atom_site_fract_y
_atom_site_fract_z
K1 K 0.123 0.123 0.123
Fe1 Fe 0.000 0.000 0.500
Se1 Se 0.250 0.250 0.750
```

***

A relaxed K2FeSe crystal. Source: Alexandria via LeMat-Bulk, functional PBE-GGA.

Summary:
- Formation energy (no corrections): 0.31 eV per atom
- Fermi-level density of states: 4.8 states/eV/f.u.

```
data_K2FeSe
_chemical_formula_sum 'K8 Fe4 Se4'
_space_group_name_H-M_alt 'F -4 3 m'
_space_group_IT_number 216
_space_group_name_Hall 'F -4 2 3'
_cell_length_a 7.657
_cell_length_b 7.657
_cell_length_c 7.657
_cell_angle_alpha 90.00
_cell_angle_beta 90.00
_cell_angle_gamma 90.00
loop_
_atom_site_label
_atom_site_type_symbol
_atom_site_fract_x
_atom_site_fract_y
_atom_site_fract_z
K1 K 0.000 0.000 0.000
K2 K 0.250 0.250 0.250
Fe1 Fe 0.250 0.250 0.750
Se1 Se 0.000 0.000 0.500
```

***

A relaxed K2FeSe crystal. Source: Alexandria via LeMat-Bulk, functional PBE-GGA.

Summary:
- Formation energy (no corrections): 0.27 eV per atom
- Fermi-level density of states: 2.0 states/eV/f.u.

```
data_K2FeSe
_chemical_formula_sum 'K4 Fe2 Se2'
_space_group_name_H-M_alt 'I -4 m 2'
_space_group_IT_number 119
_space_group_name_Hall 'I -4 -2'
_cell_length_a 4.871
_cell_length_b 4.871
_cell_length_c 9.892
_cell_angle_alpha 90.00
_cell_angle_beta 90.00
_cell_angle_gamma 90.00
loop_
_atom_site_label
_atom_site_type_symbol
_atom_site_fract_x
_atom_site_fract_y
_atom_site_fract_z
K1 K 0.000 0.000 0.000
K2 K 0.000 0.500 0.250
Fe1 Fe 0.000 0.000 0.500
Se1 Se 0.000 0.500 0.750
```

***

A relaxed K2FeSe crystal. Source: Alexandria via LeMat-Bulk, functional PBE-GGA.

Summary:
- Formation energy (no corrections): 0.26 eV per atom
- Fermi-level density of states: 6.3 states/eV/f.u.

```
data_K2FeSe
_chemical_formula_sum 'K4 Fe2 Se2'
_space_group_name_H-M_alt 'I m m m'
_space_group_IT_number 71
_space_group_name_Hall '-I 2 2'
_cell_length_a 5.117
_cell_length_b 5.133
_cell_length_c 9.226
_cell_angle_alpha 90.00
_cell_angle_beta 90.00
_cell_angle_gamma 90.00
loop_
_atom_site_label
_atom_site_type_symbol
_atom_site_fract_x
_atom_site_fract_y
_atom_site_fract_z
K1 K 0.000 0.000 0.248
Fe1 Fe 0.000 0.500 0.500
Se1 Se 0.000 0.500 0.000
```